(1)
Below is an optimized crystal structure of MgInPt2, with properties calculated at the GGA-PBE level.

a b c (Å): 2.8654 4.8685 10.8894
angles (deg): 90.00 90.00 90.00
Space group Immm (No. 71)
Asymmetric unit:
Mg 0.0000 0.0000 0.0000 (multiplicity 2)
In 0.0000 0.0000 0.5000 (multiplicity 2)
Pt 0.0000 0.0000 0.2427 (multiplicity 4)

(2)
Below is an optimized crystal structure of Mg6InPt5, with properties calculated at the GGA-PBE level.

a b c (Å): 4.3997 6.9556 13.1518
angles (deg): 90.00 90.00 90.00
Space group Immm (No. 71)
Asymmetric unit:
Mg 0.0000 0.2219 0.0000 (multiplicity 4)
Mg 0.0000 0.2661 0.3265 (multiplicity 8)
In 0.0000 0.0000 0.5000 (multiplicity 2)
Pt 0.0000 0.0000 0.1722 (multiplicity 4)
Pt 0.0000 0.5000 0.1560 (multiplicity 4)
Pt 0.0000 0.5000 0.5000 (multiplicity 2)

(3)
Below is an optimized crystal structure of Mg3InPt, with properties calculated at the GGA-PBE level.

a b c (Å): 4.4797 7.7368 6.0491
angles (deg): 90.00 90.00 90.00
Space group Pmmn (No. 59, origin choice 2)
Asymmetric unit:
Mg 0.2500 0.0573 0.1909 (multiplicity 4)
Mg 0.2500 0.2500 0.7547 (multiplicity 2)
In 0.2500 0.7500 0.5445 (multiplicity 2)
Pt 0.2500 0.7500 0.9927 (multiplicity 2)

Total DFT energy (no corrections)
In order: -0.15069; -0.15729; -0.11570
Unit: hartree per atom
ΔH_f (0 K)
In order: 0.00; -0.74; -0.44
Unit: eV/atom
Volume
In order: 18.99; 16.77; 20.97
Unit: Å³/atom